Computed, not measured: crystalline GaNiRuAu at its relaxed geometry at the GGA-PBE level of DFT.

a b c (Å): 4.324 4.324 4.324
angles (deg): 60.00 60.00 60.00
Positions (direct):
Ga (0.000, 0.000, 0.000)
Ni (0.500, 0.500, 0.500)
Ru (0.750, 0.750, 0.750)
Au (0.250, 0.250, 0.250)

Computed properties:
- space group = F-43m (216)
- VASP energy (eV/atom) = -5.3223
- energy relative to the elements (eV per atom) = 0.018


Computed, not measured: crystalline ScGaNiAu at its relaxed geometry at the GGA-PBE level of DFT.

a b c (Å): 4.504 4.504 4.504
angles (deg): 60.00 60.00 60.00
Positions (direct):
Sc (0.000, 0.000, 0.000)
Ga (0.500, 0.500, 0.500)
Ni (0.750, 0.750, 0.750)
Au (0.250, 0.250, 0.250)

Computed properties:
- space group = F-43m (216)
- VASP energy (eV/atom) = -5.1213
- energy relative to the elements (eV per atom) = -0.517


Computed, not measured: crystalline GaSiNiAu2 at its relaxed geometry at the GGA-PBE level of DFT.

a b c (Å): 4.808 4.808 4.428
angles (deg): 90.00 90.00 90.00
Positions (direct):
Ga (0.000, 0.000, 0.000)
Si (0.500, 0.500, 0.500)
Ni (0.000, 0.000, 0.500)
Au (0.000, 0.500, 0.000)
Au (0.500, 0.000, 0.000)

Computed properties:
- space group = P4/mmm (123)
- VASP energy (eV/atom) = -3.4555
- E_form (uncorrected) (eV/atom) = 0.702


Computed, not measured: crystalline Sm2Ga4NiAu3 at its relaxed geometry at the GGA-PBE level of DFT.

a b c (Å): 4.310 4.310 10.655
angles (deg): 90.00 90.00 90.00
Positions (direct):
Sm (0.000, 0.500, 0.239)
Sm (0.500, 0.000, 0.761)
Ga (0.000, 0.000, 0.500)
Ga (0.000, 0.500, 0.878)
Ga (0.500, 0.000, 0.122)
Ga (0.500, 0.500, 0.500)
Ni (0.500, 0.500, 0.000)
Au (0.000, 0.000, 0.000)
Au (0.000, 0.500, 0.642)
Au (0.500, 0.000, 0.358)

Computed properties:
- space group = P-4m2 (115)
- VASP energy (eV/atom) = -4.3142
- energy relative to the elements (eV per atom) = -0.598


Computed, not measured: crystalline SmGa2Ni5Au at its relaxed geometry at the GGA-PBE level of DFT.

a b c (Å): 3.825 3.825 9.256
angles (deg): 90.00 90.00 90.00
Positions (direct):
Sm (0.000, 0.000, 0.000)
Ga (0.500, 0.500, 0.367)
Ga (0.500, 0.500, 0.633)
Ni (0.000, 0.500, 0.219)
Ni (0.000, 0.500, 0.781)
Ni (0.500, 0.000, 0.219)
Ni (0.500, 0.000, 0.781)
Ni (0.500, 0.500, 0.000)
Au (0.000, 0.000, 0.500)

Computed properties:
- space group = P4/mmm (123)
- VASP energy (eV/atom) = -4.8526
- energy relative to the elements (eV per atom) = -0.080


Computed, not measured: crystalline SmGa3NiAu at its relaxed geometry at the GGA-PBE level of DFT.

a b c (Å): 6.850 6.850 6.119
angles (deg): 90.00 90.00 128.56
Positions (direct):
Sm (0.220, 0.780, 0.750)
Sm (0.780, 0.220, 0.250)
Ga (0.216, 0.216, 0.000)
Ga (0.216, 0.216, 0.500)
Ga (0.366, 0.634, 0.250)
Ga (0.634, 0.366, 0.750)
Ga (0.784, 0.784, 0.000)
Ga (0.784, 0.784, 0.500)
Ni (0.435, 0.565, 0.750)
Ni (0.565, 0.435, 0.250)
Au (0.157, 0.843, 0.250)
Au (0.843, 0.157, 0.750)

Computed properties:
- space group = Cmcm (63)
- VASP energy (eV/atom) = -4.1873
- energy relative to the elements (eV per atom) = -0.378